# Pr5NdHo6

An optimized crystal structure of Pr5NdHo6 (GGA-PBE, the Alexandria database).

Cell and atoms, written as POSCAR:
```
Pr5NdHo6
1.0
4.9487 0.0181 -1.4426
-1.3758 8.8708 -4.6222
0.0948 -0.7661 9.5319
Ho Pr Nd
6 5 1
Cartesian
4.0728 0.2416 4.7695 Ho
2.1305 2.2224 -1.8744 Ho
0.2830 3.4409 1.0114 Ho
1.4424 6.6665 -4.1904 Ho
3.3847 4.6819 2.4557 Ho
-0.4051 7.8812 -1.3024 Ho
2.4132 5.6700 -0.8670 Pr
1.2545 2.4528 4.3341 Pr
3.1002 1.2327 1.4409 Pr
0.5675 6.8901 2.0262 Pr
-0.6879 4.4354 -2.3111 Pr
0.0000 0.0000 0.0000 Nd
```

**SG**: Immm, No. 71
**Energy above the lowest structure with this stoichiometry**: 0.0053 eV per atom


# Pr3Ho5Cd2

An optimized crystal structure of Pr3Ho5Cd2 (GGA-PBE, the Alexandria database).

Cell and atoms, written as POSCAR:
```
Pr3Ho5Cd2
1.0
6.6654 0.0000 0.0000
3.3327 9.7654 -1.7740
3.3327 0.8811 9.8860
Ho Pr Cd
10 6 4
Cartesian
4.9991 7.8612 5.9898 Ho
8.3318 2.7853 2.1223 Ho
6.6654 7.8861 2.8612 Ho
3.3327 5.7951 1.2680 Ho
4.9991 5.3232 4.0560 Ho
8.3318 5.3232 4.0560 Ho
4.9991 2.7853 2.1223 Ho
8.3318 7.8612 5.9898 Ho
9.9981 4.8514 6.8440 Ho
6.6654 2.7604 5.2508 Ho
6.6654 4.4004 8.3704 Pr
3.3327 1.4084 6.0907 Pr
6.6654 6.2461 -0.2584 Pr
1.6664 0.0000 0.0000 Pr
4.9991 0.0000 0.0000 Pr
9.9981 9.2381 2.0213 Pr
3.3327 0.2576 2.7264 Cd
6.6654 2.6970 -0.4752 Cd
9.9981 10.3889 5.3857 Cd
6.6654 7.9495 8.5872 Cd
```

**SG**: Ibam, No. 72


# Y6Tl2Bi

An optimized crystal structure of Y6Tl2Bi (GGA-PBE, the Alexandria database).

Cell and atoms, written as POSCAR:
```
Y6Tl2Bi
1.0
-5.3961 -2.5753 -1.7756
-0.4787 -4.3946 7.8286
-5.4687 7.3127 3.7706
Y Tl Bi
12 4 2
Cartesian
-6.3547 -5.0745 6.7494 Y
-5.1605 -1.4360 3.7025 Y
-6.3161 1.8128 2.5270 Y
-6.1830 1.7789 6.1211 Y
-0.9473 -1.1395 2.5692 Y
-10.3963 1.4824 7.2544 Y
-2.8426 -4.2305 6.0823 Y
-8.5010 4.5733 3.7414 Y
-3.1508 1.4493 4.0894 Y
-5.0274 -1.4700 7.2966 Y
-8.1927 -1.1064 5.7342 Y
-4.9888 5.4174 3.0742 Y
-3.7701 0.1817 1.1942 Tl
-2.0244 -1.1362 5.7235 Tl
-7.5735 0.1612 8.6294 Tl
-9.3192 1.4791 4.1001 Tl
-2.7344 3.6564 1.8853 Bi
-2.9374 -3.4849 3.0265 Bi
```

**SG**: P2_1/c, No. 14


| no. | E_form (eV/atom) |
| --- | --- |
| 1 | 0.0174 |
| 2 | 0.1247 |
| 3 | -0.2994 |